[1]
CsBa3C: optimized geometry, PBE.

a = 6.1666 Å, b = 6.1666 Å, c = 6.1666 Å
α = 90.00°, β = 90.00°, γ = 90.00°
With the nearest neighbours (Å) after each atom.
Element x y z (fractional)
Cs: 0.5000 0.5000 0.5000  12 Ba 4.36
C: 0.0000 0.0000 0.0000  6 Ba 3.08
Ba: 0.0000 0.5000 0.0000  2 C 3.08
Ba: 0.0000 0.0000 0.5000  2 C 3.08
Ba: 0.5000 0.0000 0.0000  2 C 3.08

SG = Pm-3m
Total magnetization = 0.171 μB/atom

=====

[2]
TaWAu2: optimized geometry, PBE.

a = 4.6328 Å, b = 4.6328 Å, c = 4.6328 Å
α = 60.00°, β = 60.00°, γ = 60.00°
With the nearest neighbours (Å) after each atom.
Element x y z (fractional)
Au: 0.0000 0.0000 0.0000  4 Au 2.84, 4 W 2.84
Au: 0.7500 0.7500 0.7500  4 Au 2.84, 4 Ta 2.84
Ta: 0.5000 0.5000 0.5000  4 W 2.84, 4 Au 2.84
W: 0.2500 0.2500 0.2500  4 Au 2.84, 4 Ta 2.84

SG = F-43m
Total magnetization = 0.000 μB/atom

=====

[3]
La4MnTl: optimized geometry, PBE.

a = 6.5128 Å, b = 6.5128 Å, c = 6.5128 Å
α = 60.00°, β = 60.00°, γ = 60.00°
With the nearest neighbours (Å) after each atom.
Element x y z (fractional)
La: 0.8750 0.3750 0.3750  6 La 3.26
La: 0.3750 0.3750 0.8750  6 La 3.26
La: 0.3750 0.8750 0.3750  6 La 3.26
La: 0.3750 0.3750 0.3750  6 La 3.26
Mn: 0.7500 0.7500 0.7500  12 La 3.82, 4 Tl 3.99
Tl: 0.0000 0.0000 0.0000  12 La 3.82, 4 Mn 3.99

SG = F-43m
Total magnetization = 0.607 μB/atom

=====

Number 1: excess energy over the best structure of this formula in the dataset 0.0 kJ per mole of atoms. Number 2: excess energy over the best structure of this formula in the dataset 34.2 kJ per mole of atoms. Number 3: excess energy over the best structure of this formula in the dataset 49.5 kJ per mole of atoms.